[1]
Compound: CdHgSeO
Source: OQMD via LeMat-Bulk
Functional: PBE
Structure: relaxed

The structure in POSCAR format:
```
CdHgSeO
1.0
6.712 0.000 0.000
0.000 8.120 0.000
0.000 0.000 6.466
Cd Hg Se O
4 4 4 4
Direct
0.129 0.080 0.000 Cd
0.371 0.080 0.500 Cd
0.629 0.920 0.000 Cd
0.871 0.920 0.500 Cd
0.051 0.646 0.108 Hg
0.449 0.646 0.608 Hg
0.551 0.354 0.108 Hg
0.949 0.354 0.608 Hg
0.052 0.660 0.684 Se
0.448 0.660 0.184 Se
0.552 0.340 0.684 Se
0.948 0.340 0.184 Se
0.080 0.095 0.662 O
0.420 0.095 0.162 O
0.580 0.905 0.662 O
0.920 0.905 0.162 O
```

---

[2]
Compound: CdHgSeO
Source: OQMD via LeMat-Bulk
Functional: PBE
Structure: relaxed

The structure in POSCAR format:
```
CdHgSeO
1.0
4.048 0.000 0.000
0.000 4.048 0.000
0.000 0.000 10.321
Cd Hg Se O
2 2 2 2
Direct
0.250 0.250 0.202 Cd
0.750 0.750 0.798 Cd
0.250 0.250 0.621 Hg
0.750 0.750 0.379 Hg
0.250 0.750 0.000 Se
0.750 0.250 0.000 Se
0.250 0.250 0.402 O
0.750 0.750 0.598 O
```

---

[3]
Compound: CdHgSeO
Source: OQMD via LeMat-Bulk
Functional: PBE
Structure: relaxed

The structure in POSCAR format:
```
CdHgSeO
1.0
6.243 0.000 0.000
0.000 3.891 0.000
0.000 0.000 14.162
Cd Hg Se O
4 4 4 4
Direct
0.118 0.250 0.170 Cd
0.382 0.750 0.670 Cd
0.618 0.250 0.330 Cd
0.882 0.750 0.830 Cd
0.134 0.750 0.383 Hg
0.366 0.250 0.883 Hg
0.634 0.750 0.117 Hg
0.866 0.250 0.617 Hg
0.243 0.750 0.054 Se
0.257 0.250 0.554 Se
0.743 0.750 0.446 Se
0.757 0.250 0.946 Se
0.235 0.750 0.811 O
0.265 0.250 0.311 O
0.735 0.750 0.689 O
0.765 0.250 0.189 O
```

---

[4]
Compound: CdHgSeO
Source: OQMD via LeMat-Bulk
Functional: PBE
Structure: relaxed

The structure in POSCAR format:
```
CdHgSeO
1.0
7.173 0.000 0.000
0.000 13.578 0.000
0.000 0.000 7.264
Cd Hg Se O
8 8 8 8
Direct
0.017 0.242 0.136 Cd
0.017 0.258 0.636 Cd
0.483 0.742 0.136 Cd
0.483 0.758 0.636 Cd
0.517 0.242 0.364 Cd
0.517 0.258 0.864 Cd
0.983 0.742 0.364 Cd
0.983 0.758 0.864 Cd
0.241 0.557 0.938 Hg
0.241 0.943 0.438 Hg
0.259 0.057 0.938 Hg
0.259 0.443 0.438 Hg
0.741 0.557 0.562 Hg
0.741 0.943 0.062 Hg
0.759 0.057 0.562 Hg
0.759 0.443 0.062 Hg
0.039 0.552 0.241 Se
0.039 0.948 0.741 Se
0.461 0.052 0.241 Se
0.461 0.448 0.741 Se
0.539 0.552 0.259 Se
0.539 0.948 0.759 Se
0.961 0.052 0.259 Se
0.961 0.448 0.759 Se
0.201 0.224 0.882 O
0.201 0.276 0.382 O
0.299 0.724 0.882 O
0.299 0.776 0.382 O
0.701 0.224 0.618 O
0.701 0.276 0.118 O
0.799 0.724 0.618 O
0.799 0.776 0.118 O
```

---

[5]
Compound: CdHgSeO
Source: OQMD via LeMat-Bulk
Functional: PBE
Structure: relaxed

The structure in POSCAR format:
```
CdHgSeO
1.0
5.018 0.000 0.000
0.000 5.018 0.000
0.000 0.000 7.805
Cd Hg Se O
2 2 2 2
Direct
0.250 0.750 0.000 Cd
0.750 0.250 0.000 Cd
0.250 0.250 0.311 Hg
0.750 0.750 0.689 Hg
0.250 0.250 0.842 Se
0.750 0.750 0.158 Se
0.250 0.250 0.621 O
0.750 0.750 0.379 O
```

---

[6]
Compound: CdHgSeO
Source: OQMD via LeMat-Bulk
Functional: PBE
Structure: relaxed

The structure in POSCAR format:
```
CdHgSeO
1.0
1.698 -7.342 0.000
1.698 7.342 0.000
0.000 0.000 5.931
Cd Hg Se O
2 2 2 2
Direct
0.051 0.949 0.750 Cd
0.949 0.051 0.250 Cd
0.356 0.644 0.750 Hg
0.644 0.356 0.250 Hg
0.297 0.703 0.250 Se
0.703 0.297 0.750 Se
0.500 0.500 0.000 O
0.500 0.500 0.500 O
```

---

Number 1: DFT total energy -2.930 eV/atom. Number 2: DFT total energy -2.396 eV/atom. Number 3: DFT total energy -2.851 eV/atom. Number 4: DFT total energy -2.827 eV/atom. Number 5: DFT total energy -2.538 eV/atom. Number 6: DFT total energy -2.653 eV/atom.